The following is a DFT calculation (PBE) of Th2AlFe3Ni12 after structural relaxation.

a b c (Å): 6.3070 6.3070 6.3070
angles (deg): 83.13 83.13 83.13
Closest atoms and distances in Å follow each position.
Positions (direct):
Th  0.7067  0.7067  0.7067  9 Ni 2.76-2.79, 3 Fe 2.86
Th  0.2933  0.2933  0.2933  9 Ni 2.76-2.79, 3 Fe 2.86
Al  0.0000  0.0000  0.0000  6 Ni 2.31
Fe  0.5000  0.0000  0.0000  10 Ni 2.53-2.79
Fe  0.0000  0.5000  0.0000  10 Ni 2.53-2.79
Fe  0.0000  0.0000  0.5000  10 Ni 2.53-2.79
Ni  0.4138  0.4138  0.8601  4 Ni 2.32-2.59
Ni  0.8030  0.8030  0.2701  1 Al 2.31, 5 Ni 2.32-2.51, 1 Fe 2.53
Ni  0.2701  0.8030  0.8030  1 Al 2.31, 5 Ni 2.32-2.51, 1 Fe 2.53
Ni  0.8601  0.4138  0.4138  4 Ni 2.32-2.59
Ni  0.8030  0.2701  0.8030  1 Al 2.31, 5 Ni 2.32-2.51, 1 Fe 2.53
Ni  0.4138  0.8601  0.4138  4 Ni 2.32-2.59
Ni  0.5862  0.5862  0.1399  4 Ni 2.32-2.59
Ni  0.1970  0.1970  0.7299  1 Al 2.31, 5 Ni 2.32-2.51, 1 Fe 2.53
Ni  0.7299  0.1970  0.1970  1 Al 2.31, 5 Ni 2.32-2.51, 1 Fe 2.53
Ni  0.1399  0.5862  0.5862  4 Ni 2.32-2.59
Ni  0.1970  0.7299  0.1970  1 Al 2.31, 5 Ni 2.32-2.51, 1 Fe 2.53
Ni  0.5862  0.1399  0.5862  4 Ni 2.32-2.59

Properties
* M_tot: 9.7 μB per cell
* energy of formation from the pure elements: -0.0495 eV per atom